Run A
Below is crystalline USe2Br at its relaxed geometry, with properties calculated at the PBE level.

Values from the calculation:
volume = 238.7 Å³/cell
N(E_F) = 3.447 states/eV/f.u.
spin magnetization = 2.17 Bohr magnetons per cell

Cell: 3.896 8.547 7.425 Å, 90.00 105.06 90.00°
Element x y z (fractional)
U 0.242 0.250 0.485
U 0.758 0.750 0.515
Se 0.162 0.570 0.323
Se 0.162 0.930 0.323
Se 0.838 0.070 0.677
Se 0.838 0.430 0.677
Br 0.404 0.750 0.811
Br 0.596 0.250 0.189

Run B
Below is crystalline USe2Br at its relaxed geometry, with properties calculated at the PBE level.

Values from the calculation:
volume = 134.4 Å³/cell
N(E_F) = 5.853 states/eV/f.u.
spin magnetization = 1.00 Bohr magnetons per cell

Cell: 7.854 7.854 7.854 Å, 33.91 33.91 33.91°
Element x y z (fractional)
U 0.000 0.000 0.000
Se 0.367 0.367 0.367
Se 0.608 0.608 0.608
Br 0.124 0.124 0.124

It is run A that is most stable; the runner-up trails by 134 meV/atom.

Run A
Below is crystalline VWSeBr2 at its relaxed geometry, with properties calculated at the PBE level.

Values from the calculation:
volume = 125.9 Å³/cell
N(E_F) = 5.050 states/eV/f.u.
spin magnetization = 7.00 Bohr magnetons per cell

Cell: 4.961 4.961 5.116 Å, 90.00 90.00 90.00°
Element x y z (fractional)
V 0.000 0.000 0.000
W 0.500 0.500 0.500
Se 0.000 0.000 0.500
Br 0.000 0.500 0.000
Br 0.500 0.000 0.000

Run B
Below is crystalline VWSeBr2 at its relaxed geometry, with properties calculated at the PBE level.

Values from the calculation:
volume = 132.9 Å³/cell
N(E_F) = 7.587 states/eV/f.u.
spin magnetization = 1.32 Bohr magnetons per cell

Cell: 5.240 5.240 4.839 Å, 90.00 90.00 90.00°
Element x y z (fractional)
V 0.000 0.000 0.000
W 0.500 0.500 0.500
Se 0.500 0.500 0.000
Br 0.000 0.500 0.500
Br 0.500 0.000 0.500

It is run A that is most stable; the runner-up trails by 186 meV/atom.

Run A
Below is crystalline VZnSe2Br at its relaxed geometry, with properties calculated at the PBE level.

Values from the calculation:
volume = 122.7 Å³/cell
N(E_F) = 5.650 states/eV/f.u.
spin magnetization = 2.68 Bohr magnetons per cell

Cell: 4.889 4.889 5.135 Å, 90.00 90.00 90.00°
Element x y z (fractional)
V 0.000 0.000 0.000
Zn 0.500 0.500 0.500
Se 0.000 0.500 0.500
Se 0.500 0.000 0.500
Br 0.500 0.500 0.000

Run B
Below is crystalline VZnSe2Br at its relaxed geometry, with properties calculated at the PBE level.

Values from the calculation:
volume = 120.1 Å³/cell
N(E_F) = 4.158 states/eV/f.u.
spin magnetization = 0.00 Bohr magnetons per cell

Cell: 4.774 4.774 5.269 Å, 90.00 90.00 90.00°
Element x y z (fractional)
V 0.000 0.000 0.000
Zn 0.500 0.500 0.500
Se 0.000 0.500 0.000
Se 0.500 0.000 0.000
Br 0.000 0.000 0.500

It is run B that is most stable; the runner-up trails by 461 meV/atom.

Run A
Below is crystalline ZrVSe2Br at its relaxed geometry, with properties calculated at the PBE level.

Values from the calculation:
volume = 143.6 Å³/cell
N(E_F) = 8.411 states/eV/f.u.
spin magnetization = 3.81 Bohr magnetons per cell

Cell: 5.239 5.239 5.231 Å, 90.00 90.00 90.00°
Element x y z (fractional)
Zr 0.000 0.000 0.000
V 0.500 0.500 0.500
Se 0.000 0.500 0.000
Se 0.500 0.000 0.000
Br 0.000 0.000 0.500

Run B
Below is crystalline ZrVSe2Br at its relaxed geometry, with properties calculated at the PBE level.

Values from the calculation:
volume = 118.2 Å³/cell
N(E_F) = 5.001 states/eV/f.u.
spin magnetization = 3.98 Bohr magnetons per cell

Cell: 4.934 4.934 4.854 Å, 90.00 90.00 90.00°
Element x y z (fractional)
Zr 0.000 0.000 0.000
V 0.500 0.500 0.500
Se 0.000 0.500 0.500
Se 0.500 0.000 0.500
Br 0.500 0.500 0.000

It is run A that is most stable; the runner-up trails by 45 meV/atom.

Run A
Below is crystalline WSeBr2 at its relaxed geometry, with properties calculated at the PBE level.

Values from the calculation:
volume = 77.4 Å³/cell
N(E_F) = 3.028 states/eV/f.u.
spin magnetization = 0.35 Bohr magnetons per cell

Cell: 4.977 4.977 4.977 Å, 126.31 126.31 79.38°
Element x y z (fractional)
W 0.000 0.000 0.000
Se 0.500 0.500 0.000
Br 0.250 0.750 0.500
Br 0.750 0.250 0.500

Run B
Below is crystalline WSeBr2 at its relaxed geometry, with properties calculated at the PBE level.

Values from the calculation:
volume = 119.3 Å³/cell
N(E_F) = 3.043 states/eV/f.u.
spin magnetization = 0.15 Bohr magnetons per cell

Cell: 7.685 7.685 3.383 Å, 90.00 90.00 143.35°
Element x y z (fractional)
W 0.000 0.000 0.000
Se 0.500 0.500 0.000
Br 0.137 0.863 0.500
Br 0.863 0.137 0.500

It is run B that is most stable; the runner-up trails by 1322 meV/atom.

Run A
Below is crystalline WSeBr2 at its relaxed geometry, with properties calculated at the PBE level.

Values from the calculation:
volume = 105.4 Å³/cell
N(E_F) = 3.702 states/eV/f.u.
spin magnetization = 0.00 Bohr magnetons per cell

Cell: 3.470 3.470 11.009 Å, 90.00 90.00 127.36°
Element x y z (fractional)
W 0.000 0.000 0.000
Se 0.500 0.500 0.827
Br 0.000 0.000 0.507
Br 0.500 0.500 0.191

Run B
Below is crystalline WSeBr2 at its relaxed geometry, with properties calculated at the PBE level.

Values from the calculation:
volume = 81.8 Å³/cell
N(E_F) = 3.368 states/eV/f.u.
spin magnetization = 1.36 Bohr magnetons per cell

Cell: 5.293 5.293 3.071 Å, 90.00 90.00 107.92°
Element x y z (fractional)
W 0.000 0.000 0.000
Se 0.500 0.500 0.000
Br 0.000 0.500 0.500
Br 0.500 0.000 0.500

It is run A that is most stable; the runner-up trails by 925 meV/atom.

Run A
Below is crystalline WSeBr2 at its relaxed geometry, with properties calculated at the PBE level.

Values from the calculation:
volume = 131.5 Å³/cell
N(E_F) = 0.196 states/eV/f.u.
spin magnetization = 0.00 Bohr magnetons per cell

Cell: 6.723 3.312 6.749 Å, 90.00 118.91 90.00°
Element x y z (fractional)
W 0.000 0.000 0.000
Se 0.981 0.500 0.258
Br 0.288 0.500 0.996
Br 0.633 0.000 0.668

Run B
Below is crystalline WSeBr2 at its relaxed geometry, with properties calculated at the PBE level.

Values from the calculation:
volume = 87.7 Å³/cell
N(E_F) = 2.894 states/eV/f.u.
spin magnetization = 2.65 Bohr magnetons per cell

Cell: 5.647 5.647 3.553 Å, 107.87 107.87 112.11°
Element x y z (fractional)
W 0.000 0.000 0.000
Se 0.500 0.500 0.000
Br 0.000 0.500 0.500
Br 0.500 0.000 0.500

Run C
Below is crystalline WSeBr2 at its relaxed geometry, with properties calculated at the PBE level.

Values from the calculation:
volume = 98.1 Å³/cell
N(E_F) = 4.183 states/eV/f.u.
spin magnetization = 0.96 Bohr magnetons per cell

Cell: 3.286 3.286 11.062 Å, 90.00 90.00 124.78°
Element x y z (fractional)
W 0.000 0.000 0.000
Se 0.000 0.000 0.500
Br 0.500 0.500 0.187
Br 0.500 0.500 0.813

It is run A that is most stable; the runner-up trails by 774 meV/atom.

Run A
Below is crystalline WSeBr2 at its relaxed geometry, with properties calculated at the PBE level.

Values from the calculation:
volume = 101.2 Å³/cell
N(E_F) = 3.248 states/eV/f.u.
spin magnetization = 0.00 Bohr magnetons per cell

Cell: 12.627 12.627 12.627 Å, 13.91 13.91 13.91°
Element x y z (fractional)
W 0.000 0.000 0.000
Se 0.500 0.500 0.500
Br 0.065 0.065 0.065
Br 0.935 0.935 0.935

Run B
Below is crystalline WSeBr2 at its relaxed geometry, with properties calculated at the PBE level.

Values from the calculation:
volume = 110.9 Å³/cell
N(E_F) = 1.025 states/eV/f.u.
spin magnetization = 0.00 Bohr magnetons per cell

Cell: 4.932 4.932 7.763 Å, 107.84 107.84 38.38°
Element x y z (fractional)
W 0.000 0.000 0.000
Se 0.704 0.704 0.000
Br 0.370 0.370 0.723
Br 0.519 0.519 0.277

Run C
Below is crystalline WSeBr2 at its relaxed geometry, with properties calculated at the PBE level.

Values from the calculation:
volume = 86.7 Å³/cell
N(E_F) = 2.477 states/eV/f.u.
spin magnetization = 0.00 Bohr magnetons per cell

Cell: 3.086 3.086 9.107 Å, 90.00 90.00 90.00°
Element x y z (fractional)
W 0.000 0.000 0.000
Se 0.000 0.000 0.500
Br 0.500 0.500 0.179
Br 0.500 0.500 0.821

It is run B that is most stable; the runner-up trails by 724 meV/atom.

Run A
Below is crystalline WSeBr2 at its relaxed geometry, with properties calculated at the PBE level.

Values from the calculation:
volume = 106.0 Å³/cell
N(E_F) = 2.208 states/eV/f.u.
spin magnetization = 0.00 Bohr magnetons per cell

Cell: 8.021 8.021 8.021 Å, 157.37 147.68 39.82°
Element x y z (fractional)
W 0.000 0.000 0.000
Se 0.500 0.500 0.000
Br 0.143 0.643 0.500
Br 0.857 0.357 0.500

Run B
Below is crystalline WSeBr2 at its relaxed geometry, with properties calculated at the PBE level.

Values from the calculation:
volume = 77.0 Å³/cell
N(E_F) = 3.584 states/eV/f.u.
spin magnetization = 0.00 Bohr magnetons per cell

Cell: 4.776 4.776 4.776 Å, 60.00 60.00 60.00°
Element x y z (fractional)
W 0.000 0.000 0.000
Se 0.500 0.500 0.500
Br 0.250 0.250 0.250
Br 0.750 0.750 0.750

Run C
Below is crystalline WSeBr2 at its relaxed geometry, with properties calculated at the PBE level.

Values from the calculation:
volume = 95.7 Å³/cell
N(E_F) = 2.678 states/eV/f.u.
spin magnetization = 0.00 Bohr magnetons per cell

Cell: 10.533 10.533 10.533 Å, 17.83 17.83 17.83°
Element x y z (fractional)
W 0.000 0.000 0.000
Se 0.722 0.722 0.722
Br 0.272 0.272 0.272
Br 0.498 0.498 0.498

Run D
Below is crystalline WSeBr2 at its relaxed geometry, with properties calculated at the PBE level.

Values from the calculation:
volume = 80.9 Å³/cell
N(E_F) = 1.491 states/eV/f.u.
spin magnetization = 1.96 Bohr magnetons per cell

Cell: 4.854 4.854 4.854 Å, 60.00 60.00 60.00°
Element x y z (fractional)
W 0.000 0.000 0.000
Se 0.750 0.750 0.750
Br 0.250 0.250 0.250
Br 0.500 0.500 0.500

It is run C that is most stable; the runner-up trails by 158 meV/atom.

Run A
Below is crystalline WSe2Br at its relaxed geometry, with properties calculated at the PBE level.

Values from the calculation:
volume = 77.5 Å³/cell
N(E_F) = 3.740 states/eV/f.u.
spin magnetization = 0.48 Bohr magnetons per cell

Cell: 4.571 3.138 5.779 Å, 90.00 110.78 90.00°
Element x y z (fractional)
W 0.000 0.000 0.000
Se 0.000 0.500 0.500
Se 0.500 0.000 0.500
Br 0.500 0.500 0.000

Run B
Below is crystalline WSe2Br at its relaxed geometry, with properties calculated at the PBE level.

Values from the calculation:
volume = 102.4 Å³/cell
N(E_F) = 3.073 states/eV/f.u.
spin magnetization = 0.00 Bohr magnetons per cell

Cell: 7.475 7.475 7.475 Å, 155.19 144.15 44.09°
Element x y z (fractional)
W 0.000 0.000 0.000
Se 0.141 0.641 0.500
Se 0.526 0.526 0.000
Br 0.847 0.347 0.500

Run C
Below is crystalline WSe2Br at its relaxed geometry, with properties calculated at the PBE level.

Values from the calculation:
volume = 94.9 Å³/cell
N(E_F) = 1.997 states/eV/f.u.
spin magnetization = 0.00 Bohr magnetons per cell

Cell: 3.066 3.066 10.098 Å, 90.00 90.00 90.00°
Element x y z (fractional)
W 0.000 0.000 0.000
Se 0.500 0.500 0.156
Se 0.500 0.500 0.844
Br 0.000 0.000 0.500

Run D
Below is crystalline WSe2Br at its relaxed geometry, with properties calculated at the PBE level.

Values from the calculation:
volume = 74.1 Å³/cell
N(E_F) = 1.992 states/eV/f.u.
spin magnetization = 0.00 Bohr magnetons per cell

Cell: 4.714 4.714 4.714 Å, 60.00 60.00 60.00°
Element x y z (fractional)
W 0.000 0.000 0.000
Se 0.250 0.250 0.250
Se 0.750 0.750 0.750
Br 0.500 0.500 0.500

It is run C that is most stable; the runner-up trails by 256 meV/atom.

Run A
Below is crystalline WSe2Br at its relaxed geometry, with properties calculated at the PBE level.

Values from the calculation:
volume = 263.9 Å³/cell
N(E_F) = 1.616 states/eV/f.u.
spin magnetization = 0.00 Bohr magnetons per cell

Cell: 3.326 6.824 11.725 Å, 89.93 82.73 89.43°
Element x y z (fractional)
W 0.000 0.000 0.000
W 0.127 0.834 0.504
Se 0.071 0.167 0.833
Se 0.204 0.662 0.338
Se 0.443 0.172 0.121
Se 0.576 0.665 0.626
Br 0.518 0.708 0.975
Br 0.635 0.126 0.476

Run B
Below is crystalline WSe2Br at its relaxed geometry, with properties calculated at the PBE level.

Values from the calculation:
volume = 73.3 Å³/cell
N(E_F) = 1.977 states/eV/f.u.
spin magnetization = 0.00 Bohr magnetons per cell

Cell: 4.805 4.805 4.805 Å, 123.92 123.92 83.34°
Element x y z (fractional)
W 0.000 0.000 0.000
Se 0.500 0.500 0.000
Se 0.750 0.250 0.500
Br 0.250 0.750 0.500

Run C
Below is crystalline WSe2Br at its relaxed geometry, with properties calculated at the PBE level.

Values from the calculation:
volume = 99.4 Å³/cell
N(E_F) = 2.920 states/eV/f.u.
spin magnetization = 0.49 Bohr magnetons per cell

Cell: 6.716 6.716 6.716 Å, 153.21 132.96 54.96°
Element x y z (fractional)
W 0.000 0.000 0.000
Se 0.165 0.665 0.500
Se 0.835 0.335 0.500
Br 0.500 0.500 0.000

It is run A that is most stable; the runner-up trails by 441 meV/atom.